The following is a DFT calculation (GGA-PBE) of a relaxed PmHo3Tm6 crystal.

## Properties
**Density**: 8.78 g/cm³
**ΔE_f**: 148.6 meV/atom
**N(E_F)**: 1.351 states/eV per atom
**Offset from the most stable computed form**: 0.0 meV per atom
**Space-group type**: Cmc2_1 (36)
**M_tot**: 0.00 μB per formula unit

```
PmHo3Tm6
1.0
6.1267 0.0000 0.0000
0.0000 10.7219 -1.5814
0.0000 -3.9341 10.0986
Pm Ho Tm
2 6 12
Direct
0.1616 0.2089 0.7911
0.6616 0.7911 0.2089
0.4572 0.9339 0.7180
0.9572 0.7180 0.9339
0.0721 0.3912 0.6088
0.5721 0.6088 0.3912
0.9572 0.0661 0.2820
0.4572 0.2820 0.0661
0.0266 0.7128 0.6178
0.5266 0.6178 0.7128
0.3630 0.5438 0.9658
0.8630 0.9658 0.5438
0.4177 0.9520 0.0480
0.6402 0.2881 0.7119
0.1402 0.7119 0.2881
0.9177 0.0480 0.9520
0.3630 0.0342 0.4562
0.8630 0.4562 0.0342
0.0266 0.3822 0.2872
0.5266 0.2872 0.3822
```

=====

The following is a DFT calculation (GGA-PBE) of a relaxed Pm3Ho2Tm2 crystal.

## Properties
**Density**: 8.16 g/cm³
**ΔE_f**: 17.9 meV/atom
**N(E_F)**: 1.229 states/eV per atom
**Space-group type**: C2/m (12)
**M_tot**: 0.00 μB per formula unit

```
Pm3Ho2Tm2
1.0
-3.4107 -0.2499 1.0192
2.9039 -11.4233 0.7018
0.0242 -1.8420 5.8979
Pm Ho Tm
3 2 2
Direct
0.0000 0.0000 0.0000
0.5712 0.4284 0.2874
0.4288 0.5716 0.7126
0.8561 0.1415 0.4290
0.1439 0.8585 0.5710
0.7112 0.2840 0.8615
0.2888 0.7160 0.1385
```

=====

The following is a DFT calculation (GGA-PBE) of a relaxed Pm8Ho4Tm3 crystal.

## Properties
**Density**: 7.71 g/cm³
**ΔE_f**: 348.3 meV/atom
**N(E_F)**: 1.508 states/eV per atom
**Space-group type**: C2/m (12)
**M_tot**: 0.00 μB per formula unit

```
Pm8Ho4Tm3
1.0
-4.2984 -2.1125 4.8976
-1.3743 -4.7260 -7.6787
7.7511 -4.7975 0.2995
Pm Ho Tm
8 4 3
Direct
0.2914 0.2440 0.2440
0.0000 0.7049 0.2951
0.8283 0.2978 0.2978
0.5000 0.7530 0.2470
0.5000 0.2470 0.7530
0.1717 0.7022 0.7022
0.0000 0.2951 0.7049
0.7086 0.7560 0.7560
0.5000 0.0000 0.0000
0.0000 0.5000 0.0000
0.0000 0.0000 0.0000
0.0000 0.0000 0.5000
0.5000 0.5000 0.0000
0.5000 0.0000 0.5000
0.5000 0.5000 0.5000
```

=====

The following is a DFT calculation (GGA-PBE) of a relaxed Pm4Ho4Tm3 crystal.

## Properties
**Density**: 8.28 g/cm³
**ΔE_f**: 64.8 meV/atom
**N(E_F)**: 1.750 states/eV per atom
**Offset from the most stable computed form**: 29.7 meV per atom
**Space-group type**: Immm (71)
**M_tot**: 0.00 μB per formula unit

```
Pm4Ho4Tm3
1.0
3.5123 0.0001 0.0024
0.0004 5.6288 0.0037
1.7474 2.7986 17.7098
Pm Ho Tm
4 4 3
Direct
0.5903 0.0903 0.8197
0.2681 0.2679 0.4642
0.7319 0.7321 0.5358
0.4097 0.9098 0.1803
0.5458 0.5456 0.9091
0.4542 0.4544 0.0909
0.3196 0.8199 0.3601
0.6805 0.1801 0.6399
0.1359 0.6356 0.7291
0.8642 0.3644 0.2710
0.0000 0.0000 0.0000
```

=====

The following is a DFT calculation (GGA-PBE) of a relaxed Pm7HoTm3 crystal.

## Properties
**Density**: 7.34 g/cm³
**ΔE_f**: 186.2 meV/atom
**N(E_F)**: 1.512 states/eV per atom
**Offset from the most stable computed form**: 47.6 meV per atom
**Space-group type**: P3m1 (156)
**M_tot**: 0.00 μB per formula unit

```
Pm7HoTm3
1.0
-6.8935 -5.1664 0.4989
3.7175 -5.2588 -3.0923
0.0080 0.6762 7.1120
Pm Ho Tm
7 1 3
Direct
0.1096 0.1676 0.8324
0.1096 0.1676 0.3351
0.1240 0.6667 0.3333
0.4573 0.8325 0.1675
0.4573 0.3350 0.1675
0.4573 0.8325 0.6650
0.1096 0.6649 0.8324
0.4446 0.3333 0.6667
0.7819 0.4993 0.5007
0.7819 0.4993 0.9986
0.7819 0.0014 0.5007
```

=====

The following is a DFT calculation (GGA-PBE) of a relaxed PmHoTm2 crystal.

## Properties
**Density**: 8.48 g/cm³
**ΔE_f**: 12.6 meV/atom
**N(E_F)**: 1.832 states/eV per atom
**Offset from the most stable computed form**: 0.0 meV per atom
**Space-group type**: P2/c (13)
**M_tot**: 0.00 μB per formula unit

```
PmHoTm2
1.0
7.2339 0.0000 0.0000
0.0000 6.0697 -1.3718
0.0000 -3.5856 12.3665
Pm Ho Tm
4 4 8
Direct
0.5005 0.0444 0.3750
0.4995 0.9556 0.6250
0.5005 0.4556 0.1250
0.4995 0.5444 0.8750
0.2459 0.4582 0.6244
0.7541 0.5418 0.3756
0.2459 0.0418 0.8756
0.7541 0.9582 0.1244
0.7546 0.0419 0.8744
0.2454 0.9581 0.1256
0.7546 0.4581 0.6256
0.2454 0.5419 0.3744
0.9998 0.4571 0.1250
0.0002 0.5429 0.8750
0.9998 0.0429 0.3750
0.0002 0.9571 0.6250
```

=====

The following is a DFT calculation (GGA-PBE) of a relaxed Pm7HoTm3 crystal.

## Properties
**Density**: 7.58 g/cm³
**ΔE_f**: 138.6 meV/atom
**N(E_F)**: 1.391 states/eV per atom
**Offset from the most stable computed form**: 0.0 meV per atom
**Space-group type**: P-1 (2)
**M_tot**: 0.00 μB per formula unit

```
Pm7HoTm3
1.0
-9.4847 -2.8482 -1.3560
8.6314 -3.4463 4.2865
-8.1493 6.5617 7.1854
Pm Ho Tm
14 2 6
Direct
0.2549 0.1904 0.2344
0.2119 0.8942 0.7334
0.0896 0.4034 0.4916
0.9901 0.3089 0.9755
0.4681 0.8483 0.0519
0.5810 0.9345 0.5599
0.3143 0.2820 0.7280
0.6857 0.7180 0.2720
0.5319 0.1517 0.9481
0.4190 0.0655 0.4401
0.0099 0.6911 0.0245
0.9104 0.5966 0.5084
0.7881 0.1058 0.2666
0.7451 0.8096 0.7656
0.5000 0.5000 0.0000
0.5000 0.5000 0.5000
0.2156 0.5590 0.7606
0.0000 0.0000 0.0000
0.0000 0.0000 0.5000
0.2483 0.5780 0.2550
0.7517 0.4220 0.7450
0.7844 0.4410 0.2394
```

=====

The following is a DFT calculation (GGA-PBE) of a relaxed Pm7Ho3Tm2 crystal.

## Properties
**Density**: 7.75 g/cm³
**ΔE_f**: 73.7 meV/atom
**N(E_F)**: 1.454 states/eV per atom
**Offset from the most stable computed form**: 0.0 meV per atom
**Space-group type**: P2/m (10)
**M_tot**: 0.00 μB per formula unit

```
Pm7Ho3Tm2
1.0
3.5471 0.0000 0.0000
0.0000 6.3520 -0.8814
0.0000 -2.1765 17.8648
Pm Ho Tm
7 3 2
Direct
0.5000 0.2372 0.4946
0.5000 0.7628 0.5054
0.0000 0.4435 0.1678
0.0000 0.0000 0.0000
0.0000 0.5565 0.8322
0.5000 0.0521 0.8284
0.5000 0.9479 0.1716
0.5000 0.5000 0.0000
0.0000 0.8862 0.3406
0.0000 0.1138 0.6594
0.5000 0.3893 0.3296
0.5000 0.6107 0.6704
```

=====

The following is a DFT calculation (GGA-PBE) of a relaxed PmHo3Tm7 crystal.

## Properties
**Density**: 8.44 g/cm³
**ΔE_f**: 199.5 meV/atom
**N(E_F)**: 1.580 states/eV per atom
**Offset from the most stable computed form**: 39.7 meV per atom
**Space-group type**: P3m1 (156)
**M_tot**: 0.00 μB per formula unit

```
PmHo3Tm7
1.0
-3.3054 -7.4285 -2.5394
4.3075 -3.3888 4.3061
-6.2809 2.0294 2.2390
Pm Ho Tm
1 3 7
Direct
0.4478 0.3333 0.6667
0.7847 0.5005 0.4995
0.7847 0.5005 0.0010
0.7847 0.9990 0.4995
0.1178 0.1676 0.8324
0.1178 0.1676 0.3352
0.1185 0.6667 0.3333
0.4471 0.8322 0.1678
0.4471 0.3356 0.1678
0.4471 0.8322 0.6644
0.1178 0.6648 0.8324
```

=====

The following is a DFT calculation (GGA-PBE) of a relaxed PmHo7Tm4 crystal.

## Properties
**Density**: 8.53 g/cm³
**ΔE_f**: 288.1 meV/atom
**N(E_F)**: 1.700 states/eV per atom
**Offset from the most stable computed form**: 290.3 meV per atom
**Space-group type**: C2/m (12)
**M_tot**: 0.00 μB per formula unit

```
PmHo7Tm4
1.0
-3.3972 1.7472 4.3749
-9.4076 -6.4590 -0.8704
0.7511 -3.2689 5.7440
Pm Ho Tm
1 7 4
Direct
0.0000 0.0000 0.0000
0.7889 0.9225 0.4996
0.2111 0.0775 0.5004
0.0586 0.6713 0.2115
0.9414 0.3287 0.7885
0.3650 0.5039 0.7661
0.5000 0.0000 0.0000
0.6350 0.4961 0.2339
0.6324 0.2260 0.5093
0.3676 0.7740 0.4907
0.7486 0.6849 0.8179
0.2514 0.3151 0.1821
```

=====

The following is a DFT calculation (GGA-PBE) of a relaxed Pm4Ho4Tm3 crystal.

## Properties
**Density**: 8.19 g/cm³
**ΔE_f**: 35.1 meV/atom
**N(E_F)**: 1.563 states/eV per atom
**Offset from the most stable computed form**: 0.0 meV per atom
**Space-group type**: C2/m (12)
**M_tot**: 0.00 μB per formula unit

```
Pm4Ho4Tm3
1.0
3.4932 0.0307 0.1177
-0.0147 5.3778 -0.8092
0.9191 0.0885 18.8594
Pm Ho Tm
4 4 3
Direct
0.8994 0.0966 0.1933
0.2180 0.2785 0.5574
0.7817 0.7216 0.4426
0.1006 0.9034 0.8066
0.4526 0.5452 0.0909
0.5474 0.4547 0.9092
0.6812 0.8172 0.6346
0.3190 0.1829 0.3654
0.3612 0.6360 0.2719
0.6384 0.3641 0.7281
0.0003 0.0000 0.0000
```

=====

The following is a DFT calculation (GGA-PBE) of a relaxed Pm7Ho3Tm crystal.

## Properties
**Density**: 7.49 g/cm³
**ΔE_f**: 120.5 meV/atom
**N(E_F)**: 1.416 states/eV per atom
**Offset from the most stable computed form**: 0.0 meV per atom
**Space-group type**: P2/m (10)
**M_tot**: 0.00 μB per formula unit

```
Pm7Ho3Tm
1.0
4.7726 -0.1195 -2.9751
-1.0670 9.7401 -2.1045
-1.0845 -0.7723 8.9281
Pm Ho Tm
7 3 1
Direct
0.9139 0.8287 0.9140
0.8527 0.7078 0.3529
0.6828 0.3612 0.1827
0.3172 0.6388 0.8173
0.5000 0.0000 0.5000
0.1473 0.2922 0.6471
0.0861 0.1713 0.0860
0.2794 0.0002 0.7795
0.0000 0.5000 0.0000
0.7206 0.9998 0.2205
0.5000 0.5000 0.5000
```